1.
VASP calculation (GGA-PBE) on a relaxed structure of Cd2H2Br.

The structure in POSCAR format:
```
Cd2H2Br
1.0
3.7393 0.0000 0.0000
0.0597 3.9667 0.0000
0.0276 1.9732 6.7353
Cd H Br
2 2 1
direct
0.0020 0.3414 0.3200
0.9980 0.6586 0.6800
0.4982 0.6757 0.6490
0.5018 0.3243 0.3510
0.0000 0.0000 0.0000
```

Symmetry: P-1
Spin magnetization in μB/f.u.: 0.00
Calculated density in Mg/m³: 5.1
E in eV/cell: -10.44

=====

2.
VASP calculation (GGA-PBE) on a relaxed structure of KHf2InAu.

The structure in POSCAR format:
```
KHf2InAu
1.0
5.4329 0.0000 0.0000
0.0000 5.4329 0.0000
0.0000 0.0000 5.3109
K Hf In Au
1 2 1 1
direct
0.0000 0.0000 0.0000
0.0000 0.5000 0.5000
0.5000 0.0000 0.5000
0.5000 0.5000 0.5000
0.5000 0.5000 0.0000
```

Symmetry: P4/mmm
Energy of formation in meV per atom: 1110
Spin magnetization in μB/f.u.: 0.00
Calculated density in Mg/m³: 7.5

=====

3.
VASP calculation (GGA-PBE) on a relaxed structure of Tl2GeBi.

The structure in POSCAR format:
```
Tl2GeBi
1.0
1.6938 0.9779 11.7461
-1.6938 0.9779 11.7461
0.0000 -1.9559 11.7461
Tl Ge Bi
2 1 1
direct
0.0838 0.0838 0.0838
0.9162 0.9162 0.9162
0.0000 0.0000 0.0000
0.5000 0.5000 0.5000
```

Symmetry: R-3m
Energy of formation in meV per atom: 248
Spin magnetization in μB/f.u.: 0.00
Calculated density in Mg/m³: 9.8

=====

4.
VASP calculation (GGA-PBE) on a relaxed structure of Ba2TlPdO5.

The structure in POSCAR format:
```
Ba2TlPdO5
1.0
1.9060 -7.1140 0.0000
1.9060 7.1140 0.0000
0.0000 0.0000 11.3779
Ba Tl Pd O
4 2 2 10
direct
0.0975 0.9025 0.5000
0.1448 0.8552 0.1369
0.8552 0.1448 0.6369
0.9025 0.0975 0.0000
0.2078 0.7922 0.8421
0.7922 0.2078 0.3421
0.4743 0.5257 0.2671
0.5257 0.4743 0.7671
0.0377 0.9623 0.8138
0.2820 0.7180 0.4705
0.3338 0.6662 0.2153
0.3776 0.6224 0.8169
0.4833 0.5167 0.5876
0.5167 0.4833 0.0876
0.6224 0.3776 0.3169
0.6662 0.3338 0.7153
0.7180 0.2820 0.9705
0.9623 0.0377 0.3138
```

Symmetry: Cmc2_1
Spin magnetization in μB/f.u.: 0.67
Calculated density in Mg/m³: 7.2
Formation energy from raw total energies in eV/atom: -1.386

=====

5.
VASP calculation (GGA-PBE) on a relaxed structure of AcPm2Zn9.

The structure in POSCAR format:
```
AcPm2Zn9
1.0
2.8122 1.6236 8.7292
-2.8122 1.6236 8.7292
0.0000 -3.2473 8.7292
Ac Pm Zn
1 2 9
direct
0.0000 0.0000 0.0000
0.1430 0.1430 0.1430
0.8570 0.8570 0.8570
0.0774 0.5857 0.5857
0.3353 0.3353 0.3353
0.4143 0.4143 0.9226
0.4143 0.9226 0.4143
0.5000 0.5000 0.5000
0.5857 0.0774 0.5857
0.5857 0.5857 0.0774
0.6647 0.6647 0.6647
0.9226 0.4143 0.4143
```

Symmetry: R-3m
Energy of formation in meV per atom: -294
Spin magnetization in μB/f.u.: 0.00
Calculated density in Mg/m³: 7.7

=====

6.
VASP calculation (GGA-PBE) on a relaxed structure of Cs3ZnN.

The structure in POSCAR format:
```
Cs3ZnN
1.0
6.1537 0.0000 0.0000
0.0000 6.1537 0.0000
0.0000 0.0000 6.1537
Cs Zn N
3 1 1
direct
0.0000 0.0000 0.5000
0.0000 0.5000 0.0000
0.5000 0.0000 0.0000
0.5000 0.5000 0.5000
0.0000 0.0000 0.0000
```

Symmetry: Pm-3m
Spin magnetization in μB/f.u.: 1.59
Calculated density in Mg/m³: 3.4
Formation energy from raw total energies in eV/atom: 0.524

=====

7.
VASP calculation (GGA-PBE) on a relaxed structure of TbNd5Tl6.

The structure in POSCAR format:
```
TbNd5Tl6
1.0
4.7528 -8.2646 0.0000
4.7528 8.2646 0.0000
-3.1813 0.0000 4.4927
Tb Nd Tl
1 5 6
direct
0.0000 0.0000 0.0000
0.1701 0.8299 0.5000
0.3347 0.6653 0.0000
0.5000 0.5000 0.5000
0.6653 0.3347 0.0000
0.8299 0.1701 0.5000
0.0814 0.4096 0.2455
0.2414 0.2414 0.7419
0.4096 0.0814 0.2455
0.5904 0.9186 0.7545
0.7586 0.7586 0.2581
0.9186 0.5904 0.7545
```

Symmetry: C2/m
Energy of formation in meV per atom: -383
Spin magnetization in μB/f.u.: 0.00
Calculated density in Mg/m³: 9.9

=====

8.
VASP calculation (GGA-PBE) on a relaxed structure of Li4RuAu.

The structure in POSCAR format:
```
Li4RuAu
1.0
0.0000 3.4172 3.4172
3.4172 0.0000 3.4172
3.4172 3.4172 0.0000
Li Ru Au
4 1 1
direct
0.1241 0.1241 0.1241
0.1241 0.1241 0.6276
0.1241 0.6276 0.1241
0.6276 0.1241 0.1241
0.7500 0.7500 0.7500
0.5000 0.5000 0.5000
```

Symmetry: F-43m
Energy of formation in meV per atom: 117
Spin magnetization in μB/f.u.: 0.40
Calculated density in Mg/m³: 6.8

=====

9.
VASP calculation (GGA-PBE) on a relaxed structure of LiFeNi2.

The structure in POSCAR format:
```
LiFeNi2
1.0
2.5487 0.0000 0.0000
0.0000 2.5487 0.0000
0.0000 0.0000 7.0749
Li Fe Ni
1 1 2
direct
0.0000 0.0000 0.0000
0.0000 0.0000 0.5000
0.5000 0.5000 0.2621
0.5000 0.5000 0.7379
```

Symmetry: P4/mmm
Energy of formation in meV per atom: 8
Spin magnetization in μB/f.u.: 3.32
Calculated density in Mg/m³: 6.5

=====

10.
VASP calculation (GGA-PBE) on a relaxed structure of NdEuThMg.

The structure in POSCAR format:
```
NdEuThMg
1.0
0.0000 4.0206 4.0206
4.0206 0.0000 4.0206
4.0206 4.0206 0.0000
Nd Eu Th Mg
1 1 1 1
direct
0.0000 0.0000 0.0000
0.5000 0.5000 0.5000
0.2500 0.2500 0.2500
0.7500 0.7500 0.7500
```

Symmetry: F-43m
Energy of formation in meV per atom: 215
Spin magnetization in μB/f.u.: 8.13
Calculated density in Mg/m³: 7.1

=====

11.
VASP calculation (GGA-PBE) on a relaxed structure of Li2MgCd2Hg4.

The structure in POSCAR format:
```
Li2MgCd2Hg4
1.0
7.5305 -1.7221 0.0000
7.5305 1.7221 0.0000
-2.6427 0.0000 7.3587
Li Mg Cd Hg
2 1 2 4
direct
0.1305 0.1305 0.1320
0.8695 0.8695 0.8680
0.0000 0.0000 0.5000
0.3343 0.3343 0.5255
0.6657 0.6657 0.4745
0.2024 0.2024 0.8215
0.4776 0.4776 0.1740
0.5224 0.5224 0.8260
0.7976 0.7976 0.1785
```

Symmetry: C2/m
Energy of formation in meV per atom: -194
Spin magnetization in μB/f.u.: 0.00
Calculated density in Mg/m³: 9.3

=====

12.
VASP calculation (GGA-PBE) on a relaxed structure of In2FeSi2.

The structure in POSCAR format:
```
In2FeSi2
1.0
-1.6533 1.6533 8.5323
1.6533 -1.6533 8.5323
1.6533 1.6533 -8.5323
In Fe Si
2 1 2
direct
0.0894 0.0894 0.0000
0.9106 0.9106 0.0000
0.5000 0.5000 0.0000
0.2500 0.7500 0.5000
0.7500 0.2500 0.5000
```

Symmetry: I4/mmm
Spin magnetization in μB/f.u.: 0.00
Calculated density in Mg/m³: 6.1
Formation energy from raw total energies in eV/atom: 0.499

=====

13.
VASP calculation (GGA-PBE) on a relaxed structure of HfTe2O.

The structure in POSCAR format:
```
HfTe2O
1.0
2.0110 1.1610 7.5077
-2.0110 1.1610 7.5077
0.0000 -2.3221 7.5077
Hf Te O
1 2 1
direct
0.0000 0.0000 0.0000
0.4092 0.4092 0.4092
0.5908 0.5908 0.5908
0.5000 0.5000 0.5000
```

Symmetry: R-3m
Spin magnetization in μB/f.u.: 0.00
Calculated density in Mg/m³: 7.1
Formation energy from raw total energies in eV/atom: -0.522

=====

14.
VASP calculation (GGA-PBE) on a relaxed structure of CsMg3Sn2.

The structure in POSCAR format:
```
CsMg3Sn2
1.0
8.9778 -2.4350 0.0000
8.9778 2.4350 0.0000
-3.3680 0.0000 8.6641
Cs Mg Sn
2 6 4
direct
0.1626 0.1626 0.0671
0.8374 0.8374 0.9329
0.0325 0.0325 0.3475
0.3200 0.3200 0.5641
0.4138 0.4138 0.3383
0.5862 0.5862 0.6617
0.6800 0.6800 0.4359
0.9675 0.9675 0.6525
0.1719 0.1719 0.6400
0.4752 0.4752 0.8289
0.5248 0.5248 0.1711
0.8281 0.8281 0.3600
```

Symmetry: C2/m
Energy of formation in meV per atom: -206
Spin magnetization in μB/f.u.: 0.00
Calculated density in Mg/m³: 3.9

=====

15.
VASP calculation (GGA-PBE) on a relaxed structure of TiCu2NiH.

The structure in POSCAR format:
```
TiCu2NiH
1.0
3.6653 0.0000 0.0000
0.0000 3.6653 0.0000
0.0000 0.0000 4.0083
Ti Cu Ni H
1 2 1 1
direct
0.0000 0.0000 0.0000
0.0000 0.5000 0.5000
0.5000 0.0000 0.5000
0.5000 0.5000 0.0000
0.0000 0.0000 0.5000
```

Symmetry: P4/mmm
Spin magnetization in μB/f.u.: 0.00
Calculated density in Mg/m³: 7.2
E in eV/cell: -25.37

=====

16.
VASP calculation (GGA-PBE) on a relaxed structure of YGa4Pd4.

The structure in POSCAR format:
```
YGa4Pd4
1.0
-4.1425 4.1425 2.3266
4.1425 -4.1425 2.3266
4.1425 4.1425 -2.3266
Y Ga Pd
1 4 4
direct
0.0000 0.0000 0.0000
0.2563 0.3754 0.6317
0.3754 0.7437 0.1191
0.6246 0.2563 0.8809
0.7437 0.6246 0.3683
0.0855 0.6434 0.7289
0.3566 0.0855 0.4421
0.6434 0.9145 0.5579
0.9145 0.3566 0.2711
```

Symmetry: I4/m
Energy of formation in meV per atom: -585
Spin magnetization in μB/f.u.: 0.00
Calculated density in Mg/m³: 8.3

=====

17.
VASP calculation (GGA-PBE) on a relaxed structure of ZrTaN3.

The structure in POSCAR format:
```
ZrTaN3
1.0
4.0783 0.0000 0.0000
0.0000 4.0783 0.0000
0.0000 0.0000 4.0783
Zr Ta N
1 1 3
direct
0.0000 0.0000 0.0000
0.5000 0.5000 0.5000
0.0000 0.0000 0.5000
0.0000 0.5000 0.0000
0.5000 0.0000 0.0000
```

Symmetry: Pm-3m
Spin magnetization in μB/f.u.: 0.00
Calculated density in Mg/m³: 7.7
Formation energy from raw total energies in eV/atom: 0.792

=====

18.
VASP calculation (GGA-PBE) on a relaxed structure of NaCdPb.

The structure in POSCAR format:
```
NaCdPb
1.0
4.5438 0.0000 0.0000
0.0000 4.5438 0.0000
0.0000 0.0000 8.2712
Na Cd Pb
2 2 2
direct
0.2500 0.2500 0.1574
0.7500 0.7500 0.8426
0.2500 0.7500 0.5000
0.7500 0.2500 0.5000
0.2500 0.2500 0.7558
0.7500 0.7500 0.2442
```

Symmetry: P4/nmm
Energy of formation in meV per atom: -105
Spin magnetization in μB/f.u.: 0.00
Calculated density in Mg/m³: 6.7

=====

19.
VASP calculation (GGA-PBE) on a relaxed structure of Ba3CaRh.

The structure in POSCAR format:
```
Ba3CaRh
1.0
8.3275 0.0000 0.0000
0.0000 8.3275 0.0000
0.0000 0.0000 14.2859
Ba Ca Rh
12 4 4
direct
0.0214 0.3143 0.0000
0.0880 0.1890 0.4785
0.1890 0.9120 0.2285
0.3143 0.9786 0.7500
0.3300 0.4154 0.2470
0.4154 0.6700 0.9970
0.5846 0.3300 0.4970
0.6700 0.5846 0.7470
0.6857 0.0214 0.2500
0.8110 0.0880 0.7285
0.9120 0.8110 0.9785
0.9786 0.6857 0.5000
0.1596 0.4732 0.7252
0.4732 0.8404 0.4752
0.5268 0.1596 0.9752
0.8404 0.5268 0.2252
0.1040 0.6001 0.1161
0.3999 0.1040 0.3661
0.6001 0.8960 0.8661
0.8960 0.3999 0.6161
```

Symmetry: P4_1
Energy of formation in meV per atom: -129
Spin magnetization in μB/f.u.: 0.00
Calculated density in Mg/m³: 3.7

=====

20.
VASP calculation (GGA-PBE) on a relaxed structure of Na3Y2TcO6.

The structure in POSCAR format:
```
Na3Y2TcO6
1.0
2.8931 -4.8761 0.0000
2.8931 4.8761 0.0000
-1.8567 0.0000 5.6115
Na Y Tc O
3 2 1 6
direct
0.0000 0.0000 0.0000
0.3404 0.6596 0.0000
0.6596 0.3404 0.0000
0.1729 0.8271 0.5000
0.8271 0.1729 0.5000
0.5000 0.5000 0.5000
0.1002 0.4194 0.2786
0.2608 0.2608 0.7022
0.4194 0.1002 0.2786
0.5806 0.8998 0.7214
0.7392 0.7392 0.2978
0.8998 0.5806 0.7214
```

Symmetry: C2/m
Spin magnetization in μB/f.u.: 2.00
Calculated density in Mg/m³: 4.6
Formation energy from raw total energies in eV/atom: -2.226